Record 1
Below is a relaxed structure of Rb2MgFeP2, with properties calculated at the PBE level.

DFT total energy: -24.404 eV per cell
magnetization: 0.66 μB/atom

```
data_Rb2MgFeP2
_chemical_formula_sum 'Rb2 Mg1 Fe1 P2'
_cell_length_a 4.316
_cell_length_b 4.316
_cell_length_c 8.153
_cell_angle_alpha 90.00
_cell_angle_beta 90.00
_cell_angle_gamma 90.00
_space_group_name_H-M_alt 'P -4 m 2'
_space_group_IT_number 115
_space_group_name_Hall 'P -4 -2'
loop_
_atom_site_label
_atom_site_fract_x
_atom_site_fract_y
_atom_site_fract_z
Rb1 0.000 0.500 0.150
Mg1 0.000 0.000 0.500
Fe1 0.500 0.500 0.500
P1 0.000 0.500 0.665
```

Record 2
Below is a relaxed structure of ErHPb, with properties calculated at the PBE level.

DFT total energy: -13.227 eV per cell
magnetization: 0.00 μB/atom

```
data_ErHPb
_chemical_formula_sum 'Er1 H1 Pb1'
_cell_length_a 3.6397
_cell_length_b 3.6397
_cell_length_c 5.1337
_cell_angle_alpha 90.00
_cell_angle_beta 90.00
_cell_angle_gamma 120.00
_space_group_name_H-M_alt 'P -6 m 2'
_space_group_IT_number 187
_space_group_name_Hall 'P -6 2'
loop_
_atom_site_label
_atom_site_fract_x
_atom_site_fract_y
_atom_site_fract_z
Er1 0.0000 0.0000 0.0000
H1 0.6667 0.3333 0.0000
Pb1 0.3333 0.6667 0.5000
```

Record 3
Below is a relaxed structure of AcMo, with properties calculated at the PBE level.

ΔH_f (0 K): 1.531 eV per atom
magnetization: 1.50 μB/atom
relative energy among the computed polymorphs: 275 meV/atom

```
data_AcMo
_chemical_formula_sum 'Ac4 Mo4'
_cell_length_a 6.300
_cell_length_b 6.300
_cell_length_c 6.300
_cell_angle_alpha 90.00
_cell_angle_beta 90.00
_cell_angle_gamma 90.00
_space_group_name_H-M_alt 'F m -3 m'
_space_group_IT_number 225
_space_group_name_Hall '-F 4 2 3'
loop_
_atom_site_label
_atom_site_fract_x
_atom_site_fract_y
_atom_site_fract_z
Ac1 0.000 0.000 0.000
Mo1 0.000 0.000 0.500
```

Record 4
Below is a relaxed structure of ReIr3, with properties calculated at the PBE level.

ΔH_f (0 K): -0.151 eV per atom
magnetization: 0.00 μB/atom
relative energy among the computed polymorphs: 0 meV/atom

```
data_ReIr3
_chemical_formula_sum 'Re2 Ir6'
_cell_length_a 4.387
_cell_length_b 5.525
_cell_length_c 4.802
_cell_angle_alpha 90.00
_cell_angle_beta 90.00
_cell_angle_gamma 90.00
_space_group_name_H-M_alt 'P m m n'
_space_group_IT_number 59
loop_
_space_group_symop_operation_xyz
'x,y,z'
'-x,-y,-z'
'-x+1/2,-y+1/2,z'
'x+1/2,y+1/2,-z'
'x+1/2,-y,-z'
'-x+1/2,y,z'
'-x,y+1/2,-z'
'x,-y+1/2,z'
loop_
_atom_site_label
_atom_site_fract_x
_atom_site_fract_y
_atom_site_fract_z
Re1 0.250 0.250 0.170
Ir1 0.250 0.001 0.667
Ir2 0.250 0.750 0.159
```

Record 5
Below is a relaxed structure of KCu2OsSe4, with properties calculated at the PBE level.

DFT total energy: -142.236 eV per cell
magnetization: 0.00 μB/atom

```
data_KCu2OsSe4
_chemical_formula_sum 'K4 Cu8 Os4 Se16'
_cell_length_a 7.523
_cell_length_b 18.934
_cell_length_c 5.783
_cell_angle_alpha 90.00
_cell_angle_beta 90.00
_cell_angle_gamma 90.00
_space_group_name_H-M_alt 'A m a 2'
_space_group_IT_number 40
_space_group_name_Hall 'A 2 -2a'
loop_
_atom_site_label
_atom_site_fract_x
_atom_site_fract_y
_atom_site_fract_z
K1 0.250 0.186 0.000
Cu1 0.000 0.000 0.271
Cu2 0.250 0.387 0.238
Os1 0.250 0.386 0.735
Se1 0.005 0.111 0.480
Se2 0.250 0.286 0.494
Se3 0.250 0.490 0.497
```

Record 6
Below is a relaxed structure of Nd3Zr3Te2Pd, with properties calculated at the PBE level.

magnetization: 0.07 μB/atom
relative energy among the computed polymorphs: 0 meV/atom

```
data_Nd3Zr3Te2Pd
_chemical_formula_sum 'Nd3 Zr3 Te2 Pd1'
_cell_length_a 8.1413
_cell_length_b 8.1413
_cell_length_c 4.0864
_cell_angle_alpha 90.00
_cell_angle_beta 90.00
_cell_angle_gamma 120.00
_space_group_name_H-M_alt 'P -6 2 m'
_space_group_IT_number 189
_space_group_name_Hall 'P -6 -2'
loop_
_atom_site_label
_atom_site_fract_x
_atom_site_fract_y
_atom_site_fract_z
Nd1 0.0000 0.4036 0.0000
Zr1 0.0000 0.7665 0.5000
Te1 0.3333 0.6667 0.5000
Pd1 0.0000 0.0000 0.0000
```

Record 7
Below is a relaxed structure of BeCoSiAu, with properties calculated at the PBE level.

magnetization: 0.06 μB/atom
relative energy among the computed polymorphs: 0 meV/atom

```
data_BeCoSiAu
_chemical_formula_sum 'Be4 Co4 Si4 Au4'
_cell_length_a 5.792
_cell_length_b 5.792
_cell_length_c 5.792
_cell_angle_alpha 90.00
_cell_angle_beta 90.00
_cell_angle_gamma 90.00
_space_group_name_H-M_alt 'F -4 3 m'
_space_group_IT_number 216
_space_group_name_Hall 'F -4 2 3'
loop_
_atom_site_label
_atom_site_fract_x
_atom_site_fract_y
_atom_site_fract_z
Be1 0.000 0.000 0.000
Co1 0.250 0.250 0.750
Si1 0.000 0.000 0.500
Au1 0.250 0.250 0.250
```

Record 8
Below is a relaxed structure of Cs4Zn2SnPb, with properties calculated at the PBE level.

DFT total energy: -29.801 eV per cell

```
data_Cs4Zn2SnPb
_chemical_formula_sum 'Cs8 Zn4 Sn2 Pb2'
_cell_length_a 7.171
_cell_length_b 12.150
_cell_length_c 8.366
_cell_angle_alpha 90.00
_cell_angle_beta 90.00
_cell_angle_gamma 90.00
_space_group_name_H-M_alt 'A m m 2'
_space_group_IT_number 38
_space_group_name_Hall 'A 2 -2'
loop_
_atom_site_label
_atom_site_fract_x
_atom_site_fract_y
_atom_site_fract_z
Cs1 0.000 0.165 0.000
Cs2 0.500 0.167 0.676
Zn1 0.253 0.000 0.335
Sn1 0.500 0.000 0.102
Pb1 0.000 0.000 0.574
```

Record 9
Below is a relaxed structure of KGdCoTe3, with properties calculated at the PBE level.

magnetization: 0.46 μB/atom
relative energy among the computed polymorphs: 22 meV/atom

```
data_KGdCoTe3
_chemical_formula_sum 'K4 Gd4 Co4 Te12'
_cell_length_a 11.593
_cell_length_b 4.294
_cell_length_c 15.742
_cell_angle_alpha 90.00
_cell_angle_beta 90.00
_cell_angle_gamma 90.00
_space_group_name_H-M_alt 'P n m a'
_space_group_IT_number 62
_space_group_name_Hall '-P 2ac 2n'
loop_
_atom_site_label
_atom_site_fract_x
_atom_site_fract_y
_atom_site_fract_z
K1 0.224 0.250 0.005
Gd1 0.019 0.750 0.257
Co1 0.236 0.750 0.783
Te1 0.052 0.750 0.875
Te2 0.090 0.250 0.387
Te3 0.235 0.250 0.684
```

Record 10
Below is a relaxed structure of Cs2ReS4, with properties calculated at the PBE level.

magnetization: 0.14 μB/atom
relative energy among the computed polymorphs: 0 meV/atom

```
data_Cs2ReS4
_chemical_formula_sum 'Cs8 Re4 S16'
_cell_length_a 10.168
_cell_length_b 7.274
_cell_length_c 13.088
_cell_angle_alpha 90.00
_cell_angle_beta 90.00
_cell_angle_gamma 90.00
_space_group_name_H-M_alt 'P n m a'
_space_group_IT_number 62
_space_group_name_Hall '-P 2ac 2n'
loop_
_atom_site_label
_atom_site_fract_x
_atom_site_fract_y
_atom_site_fract_z
Cs1 0.021 0.250 0.174
Cs2 0.147 0.750 0.408
Re1 0.238 0.750 0.082
S1 0.023 0.750 0.096
S2 0.182 0.005 0.656
S3 0.200 0.250 0.422
```

Record 11
Below is a relaxed structure of Er2Lu3ScTe2Os, with properties calculated at the PBE level.

DFT total energy: -105.772 eV per cell
magnetization: 0.00 μB/atom

```
data_Er2Lu3ScTe2Os
_chemical_formula_sum 'Er4 Lu6 Sc2 Te4 Os2'
_cell_length_a 3.981
_cell_length_b 14.015
_cell_length_c 8.121
_cell_angle_alpha 90.00
_cell_angle_beta 90.00
_cell_angle_gamma 90.00
_space_group_name_H-M_alt 'A m m 2'
_space_group_IT_number 38
_space_group_name_Hall 'A 2 -2'
loop_
_atom_site_label
_atom_site_fract_x
_atom_site_fract_y
_atom_site_fract_z
Er1 0.000 0.193 0.000
Lu1 0.500 0.000 0.047
Lu2 0.500 0.118 0.684
Sc1 0.000 0.000 0.423
Te1 0.500 0.164 0.308
Os1 0.000 0.000 0.807
```

Record 12
Below is a relaxed structure of TaFeBiOs, with properties calculated at the PBE level.

magnetization: 0.69 μB/atom
relative energy among the computed polymorphs: 224 meV/atom

```
data_TaFeBiOs
_chemical_formula_sum 'Ta4 Fe4 Bi4 Os4'
_cell_length_a 6.533
_cell_length_b 6.533
_cell_length_c 6.533
_cell_angle_alpha 90.00
_cell_angle_beta 90.00
_cell_angle_gamma 90.00
_space_group_name_H-M_alt 'F -4 3 m'
_space_group_IT_number 216
_space_group_name_Hall 'F -4 2 3'
loop_
_atom_site_label
_atom_site_fract_x
_atom_site_fract_y
_atom_site_fract_z
Ta1 0.000 0.000 0.000
Fe1 0.000 0.000 0.500
Bi1 0.250 0.250 0.250
Os1 0.250 0.250 0.750
```

Record 13
Below is a relaxed structure of Cd2GeAs4, with properties calculated at the PBE level.

DFT total energy: -102.771 eV per cell

```
data_Cd2GeAs4
_chemical_formula_sum 'Cd8 Ge4 As16'
_cell_length_a 7.323
_cell_length_b 7.534
_cell_length_c 12.902
_cell_angle_alpha 90.00
_cell_angle_beta 90.00
_cell_angle_gamma 90.00
_space_group_name_H-M_alt 'P n m a'
_space_group_IT_number 62
_space_group_name_Hall '-P 2ac 2n'
loop_
_atom_site_label
_atom_site_fract_x
_atom_site_fract_y
_atom_site_fract_z
Cd1 0.093 0.026 0.130
Ge1 0.080 0.750 0.418
As1 0.044 0.514 0.674
As2 0.092 0.250 0.960
As3 0.115 0.250 0.423
```

Record 14
Below is a relaxed structure of Lu2Sc4Au3N3, with properties calculated at the PBE level.

DFT total energy: -335.222 eV per cell
magnetization: 0.00 μB/atom

```
data_Lu2Sc4Au3N3
_chemical_formula_sum 'Lu8 Sc16 Au12 N12'
_cell_length_a 9.870
_cell_length_b 5.698
_cell_length_c 14.439
_cell_angle_alpha 90.00
_cell_angle_beta 103.16
_cell_angle_gamma 90.00
_space_group_name_H-M_alt 'C 1 2/c 1'
_space_group_IT_number 15
_space_group_name_Hall '-C 2yc'
loop_
_atom_site_label
_atom_site_fract_x
_atom_site_fract_y
_atom_site_fract_z
Lu1 0.047 0.082 0.394
Sc1 0.111 0.413 0.584
Sc2 0.225 0.419 0.917
Au1 0.000 0.488 0.250
Au2 0.203 0.120 0.750
N1 0.083 0.249 0.000
N2 0.250 0.250 0.500
```

Record 15
Below is a relaxed structure of DyHoNi2Sn, with properties calculated at the PBE level.

DFT total energy: -54.839 eV per cell
magnetization: 0.00 μB/atom

```
data_DyHoNi2Sn
_chemical_formula_sum 'Dy2 Ho2 Ni4 Sn2'
_cell_length_a 3.628
_cell_length_b 3.993
_cell_length_c 13.878
_cell_angle_alpha 90.00
_cell_angle_beta 90.00
_cell_angle_gamma 90.00
_space_group_name_H-M_alt 'A m m 2'
_space_group_IT_number 38
_space_group_name_Hall 'A 2 -2'
loop_
_atom_site_label
_atom_site_fract_x
_atom_site_fract_y
_atom_site_fract_z
Dy1 0.000 0.000 0.000
Ho1 0.000 0.000 0.727
Ni1 0.500 0.000 0.166
Ni2 0.500 0.000 0.561
Sn1 0.500 0.000 0.363
```

Record 16
Below is a relaxed structure of LiHoHgSe3, with properties calculated at the PBE level.

magnetization: 0.00 μB/atom
relative energy among the computed polymorphs: 88 meV/atom

```
data_LiHoHgSe3
_chemical_formula_sum 'Li4 Ho4 Hg4 Se12'
_cell_length_a 4.069
_cell_length_b 13.349
_cell_length_c 11.076
_cell_angle_alpha 90.00
_cell_angle_beta 90.00
_cell_angle_gamma 90.00
_space_group_name_H-M_alt 'C m c m'
_space_group_IT_number 63
_space_group_name_Hall '-C 2c 2'
loop_
_atom_site_label
_atom_site_fract_x
_atom_site_fract_y
_atom_site_fract_z
Li1 0.000 0.226 0.250
Ho1 0.000 0.000 0.000
Hg1 0.000 0.473 0.750
Se1 0.000 0.105 0.750
Se2 0.000 0.356 0.559
```

Record 17
Below is a relaxed structure of DyAlAg2O4, with properties calculated at the PBE level.

DFT total energy: -49.241 eV per cell
magnetization: 0.00 μB/atom

```
data_DyAlAg2O4
_chemical_formula_sum 'Dy1 Al1 Ag2 O4'
_cell_length_a 3.1818
_cell_length_b 3.1818
_cell_length_c 12.5520
_cell_angle_alpha 90.00
_cell_angle_beta 90.00
_cell_angle_gamma 120.00
_space_group_name_H-M_alt 'P -3 m 1'
_space_group_IT_number 164
_space_group_name_Hall '-P 3 2"'
loop_
_atom_site_label
_atom_site_fract_x
_atom_site_fract_y
_atom_site_fract_z
Dy1 0.0000 0.0000 0.0000
Al1 0.0000 0.0000 0.5000
Ag1 0.3333 0.6667 0.2625
O1 0.3333 0.6667 0.0967
O2 0.3333 0.6667 0.4302
```

Record 18
Below is a relaxed structure of BeGaCoAu, with properties calculated at the PBE level.

magnetization: 0.04 μB/atom
relative energy among the computed polymorphs: 103 meV/atom

```
data_BeGaCoAu
_chemical_formula_sum 'Be4 Ga4 Co4 Au4'
_cell_length_a 5.922
_cell_length_b 5.922
_cell_length_c 5.922
_cell_angle_alpha 90.00
_cell_angle_beta 90.00
_cell_angle_gamma 90.00
_space_group_name_H-M_alt 'F -4 3 m'
_space_group_IT_number 216
_space_group_name_Hall 'F -4 2 3'
loop_
_atom_site_label
_atom_site_fract_x
_atom_site_fract_y
_atom_site_fract_z
Be1 0.000 0.000 0.000
Ga1 0.250 0.250 0.250
Co1 0.000 0.000 0.500
Au1 0.250 0.250 0.750
```

Record 19
Below is a relaxed structure of TmMgNb, with properties calculated at the PBE level.

magnetization: 0.22 μB/atom
relative energy among the computed polymorphs: 0 meV/atom

```
data_TmMgNb
_chemical_formula_sum 'Tm4 Mg4 Nb4'
_cell_length_a 6.752
_cell_length_b 6.752
_cell_length_c 6.752
_cell_angle_alpha 90.00
_cell_angle_beta 90.00
_cell_angle_gamma 90.00
_space_group_name_H-M_alt 'F -4 3 m'
_space_group_IT_number 216
_space_group_name_Hall 'F -4 2 3'
loop_
_atom_site_label
_atom_site_fract_x
_atom_site_fract_y
_atom_site_fract_z
Tm1 0.000 0.000 0.000
Mg1 0.250 0.250 0.750
Nb1 0.000 0.000 0.500
```

Record 20
Below is a relaxed structure of SrOsAu, with properties calculated at the PBE level.

magnetization: 0.77 μB/atom
relative energy among the computed polymorphs: 0 meV/atom

```
data_SrOsAu
_chemical_formula_sum 'Sr4 Os4 Au4'
_cell_length_a 6.780
_cell_length_b 6.780
_cell_length_c 6.780
_cell_angle_alpha 90.00
_cell_angle_beta 90.00
_cell_angle_gamma 90.00
_space_group_name_H-M_alt 'F -4 3 m'
_space_group_IT_number 216
_space_group_name_Hall 'F -4 2 3'
loop_
_atom_site_label
_atom_site_fract_x
_atom_site_fract_y
_atom_site_fract_z
Sr1 0.000 0.000 0.000
Os1 0.000 0.000 0.500
Au1 0.250 0.250 0.750
```

Record 21
Below is a relaxed structure of Al3Mo4W2N3, with properties calculated at the PBE level.

DFT total energy: -428.754 eV per cell
magnetization: 0.00 μB/atom

```
data_Al3Mo4W2N3
_chemical_formula_sum 'Al12 Mo16 W8 N12'
_cell_length_a 8.508
_cell_length_b 4.954
_cell_length_c 14.965
_cell_angle_alpha 90.00
_cell_angle_beta 100.83
_cell_angle_gamma 90.00
_space_group_name_H-M_alt 'C 1 2/c 1'
_space_group_IT_number 15
_space_group_name_Hall '-C 2yc'
loop_
_atom_site_label
_atom_site_fract_x
_atom_site_fract_y
_atom_site_fract_z
Al1 0.000 0.085 0.250
Al2 0.166 0.415 0.750
Mo1 0.115 0.079 0.597
Mo2 0.218 0.081 0.903
W1 0.053 0.420 0.403
N1 0.081 0.256 0.000
N2 0.250 0.250 0.500
```